Entry from Alexandria via LeMat-Bulk: a relaxed Rb2BaHg2S4 crystal (GGA-PBE).

As for the total magnetization: 0.000 μB per cell. The symmetry is C2/m (12). The formation energy without anion corrections is -0.93 eV per atom. Its final energy is -3.265 eV per atom.

a b c (Å): 4.391 8.246 8.750
angles (deg): 110.62 104.53 90.00
Positions (direct):
S: 0.789 0.822 0.578
S: 0.523 0.747 0.046
S: 0.211 0.178 0.422
S: 0.477 0.253 0.954
Rb: 0.125 0.558 0.250
Rb: 0.875 0.442 0.750
Hg: 0.333 0.020 0.665
Hg: 0.667 0.980 0.335
Ba: 0.000 0.000 0.000

Entry from Alexandria via LeMat-Bulk: a relaxed K2ZrPbS4 crystal (GGA-PBE).

As for the total magnetization: 0.000 μB per cell. The symmetry is P2/m (10). The formation energy without anion corrections is -1.23 eV per atom. Its final energy is -5.096 eV per atom.

a b c (Å): 4.000 7.616 7.237
angles (deg): 73.02 90.00 90.00
Positions (direct):
Zr: 0.000 0.500 0.500
K: 0.000 0.000 0.000
K: 0.500 0.000 0.500
S: 0.000 0.295 0.273
S: 0.500 0.304 0.706
S: 0.000 0.705 0.727
S: 0.500 0.696 0.294
Pb: 0.500 0.500 0.000

Entry from Alexandria via LeMat-Bulk: a relaxed Sm3IrAu2 crystal (GGA-PBE).

As for the total magnetization: 0.000 μB per cell. The symmetry is Cmmm (65). The excess energy over the best structure of this formula in the dataset comes out at 0.0 meV per atom. Its energy relative to the elements is -4.57 eV/f.u. Its final energy is -5.690 eV per atom. The density of states at the Fermi level is 8.59 states/eV/cell.

a b c (Å): 5.112 8.040 7.292
angles (deg): 90.00 90.01 71.46
Positions (direct):
Au: 0.000 0.000 0.000
Au: 0.333 0.334 0.500
Au: 0.000 0.000 0.500
Au: 0.667 0.666 0.500
Sm: 0.829 0.342 0.764
Sm: 0.501 0.000 0.759
Sm: 0.499 0.000 0.241
Sm: 0.171 0.658 0.764
Sm: 0.171 0.658 0.236
Sm: 0.829 0.342 0.236
Ir: 0.335 0.329 0.000
Ir: 0.665 0.671 0.000

Entry from Alexandria via LeMat-Bulk: a relaxed Ba2LiSb4Au3 crystal (GGA-PBE).

As for the total magnetization: 0.000 μB per cell. The symmetry is P-4m2 (115). The formation energy without anion corrections is -0.67 eV per atom. Its final energy is -3.882 eV per atom. The density of states at the Fermi level is 4.92 states/eV/cell.

a b c (Å): 4.870 4.870 11.538
angles (deg): 90.00 90.00 90.00
Positions (direct):
Sb: 0.500 0.500 0.000
Sb: 0.000 0.000 0.000
Sb: 0.000 0.500 0.371
Sb: 0.500 0.000 0.629
Au: 0.000 0.500 0.133
Au: 0.500 0.000 0.867
Au: 0.000 0.000 0.500
Li: 0.500 0.500 0.500
Ba: 0.500 0.000 0.258
Ba: 0.000 0.500 0.742

Entry from Alexandria via LeMat-Bulk: a relaxed K5Rb5Cd2 crystal (GGA-PBE).

As for the total magnetization: 0.000 μB per cell. The symmetry is C2/m (12). Its energy relative to the elements is 0.13 eV/f.u. Its final energy is -1.003 eV per atom. The density of states at the Fermi level is 8.68 states/eV/cell.

a b c (Å): 6.187 12.773 11.116
angles (deg): 74.89 73.84 75.98
Positions (direct):
Rb: 0.500 0.500 0.500
Rb: 0.334 0.009 0.322
Rb: 0.356 0.356 0.932
Rb: 0.666 0.991 0.678
Rb: 0.644 0.644 0.068
K: 0.737 0.276 0.250
K: 0.000 0.000 0.000
K: 0.059 0.269 0.613
K: 0.941 0.731 0.387
K: 0.263 0.724 0.750
Cd: 0.138 0.454 0.269
Cd: 0.862 0.546 0.731

Entry from Alexandria via LeMat-Bulk: a relaxed LaCo2Os crystal (GGA-PBE).

As for the total magnetization: 2.693 μB per cell. The symmetry is P4/mmm (123). The excess energy over the best structure of this formula in the dataset comes out at 468.7 meV per atom. Its energy relative to the elements is 1.76 eV/f.u. Its final energy is -7.151 eV per atom. The density of states at the Fermi level is 5.07 states/eV/cell.

a b c (Å): 4.607 4.604 2.995
angles (deg): 90.00 90.00 90.00
Site moments in Bohr magnetons follow the coordinates.
Positions (direct):
Co: 0.000 0.000 0.000  1.17
Co: 0.500 0.500 0.000  1.16
La: 0.500 0.000 0.500  -0.18
Os: 0.000 0.500 0.500  0.60

Entry from Alexandria via LeMat-Bulk: a relaxed YU2MoC4 crystal (GGA-PBE).

As for the total magnetization: 0.003 μB per cell. The symmetry is Cmcm (63). Its energy relative to the elements is -0.05 eV/f.u. Its final energy is -9.602 eV per atom. The density of states at the Fermi level is 14.90 states/eV/cell.

a b c (Å): 3.610 6.095 11.368
angles (deg): 90.00 90.00 107.23
Positions (direct):
Mo: 0.131 0.263 0.250
Mo: 0.869 0.737 0.750
Y: 0.868 0.737 0.250
Y: 0.132 0.263 0.750
C: 0.744 0.489 0.882
C: 0.256 0.511 0.382
C: 0.458 0.916 0.750
C: 0.256 0.511 0.118
C: 0.000 0.000 0.000
C: 0.744 0.489 0.618
C: 0.000 0.000 0.500
C: 0.542 0.084 0.250
U: 0.373 0.747 0.957
U: 0.373 0.747 0.543
U: 0.627 0.253 0.457
U: 0.627 0.253 0.043

Entry from Alexandria via LeMat-Bulk: a relaxed Ca2ReP crystal (GGA-PBE).

As for the total magnetization: 1.527 μB per cell. The symmetry is I-4m2 (119). Its energy relative to the elements is 1.78 eV/f.u. Its final energy is -5.021 eV per atom. The density of states at the Fermi level is 2.14 states/eV/cell.

a b c (Å): 5.080 5.080 5.080
angles (deg): 128.34 128.34 76.08
Site moments in Bohr magnetons follow the coordinates.
Positions (direct):
Ca: 0.000 0.000 0.000  0.08
Ca: 0.250 0.750 0.500  0.00
Re: 0.750 0.250 0.500  1.13
P: 0.500 0.500 0.000  0.01